The following is a PBE-GGA calculation of crystalline RbPmSnSe3 at its relaxed geometry, from Alexandria.

## Properties
The uncorrected formation energy is -7.74 eV/f.u. For the raw total energy, the calculation gives -55.8 eV per cell.

Lattice parameters (Å, degrees): 8.940 4.272 11.763 90.00 107.94 90.00
Space group P2_1/m (No. 11)
Inequivalent atoms, fractional coordinates:
Rb: 0.226 0.250 0.261 x2
Pm: 0.360 0.750 0.851 x2
Sn: 0.144 0.250 0.565 x2
Se: 0.112 0.250 0.784 x2
Se: 0.352 0.750 0.593 x2
Se: 0.404 0.750 0.106 x2

The following is a PBE-GGA calculation of crystalline Rb3Pm3SnSe8 at its relaxed geometry, from Alexandria.

## Properties
The uncorrected formation energy is -21.48 eV/f.u. For the raw total energy, the calculation gives -211.6 eV per cell. The density of states at the Fermi level is 1.23 states/eV/f.u.

Lattice parameters (Å, degrees): 8.5143 8.5143 24.6036 90.00 90.00 120.00
Space group R-3m (No. 166, hexagonal axes)
Inequivalent atoms, fractional coordinates:
Rb: 0.0000 0.5000 0.0000 x9
Pm: 0.0000 0.5000 0.5000 x9
Sn: 0.0000 0.0000 0.5000 x3
Se: 0.0000 0.0000 0.2328 x6
Se: 0.0190 0.5095 0.2305 x18

The following is a PBE-GGA calculation of crystalline Rb3SrPm2Se6 at its relaxed geometry, from Alexandria.

## Properties
The uncorrected formation energy is -19.14 eV/f.u. For the raw total energy, the calculation gives -108.3 eV per cell. The density of states at the Fermi level is 12.02 states/eV/f.u.

Lattice parameters (Å, degrees): 7.644 13.238 8.436 90.00 107.62 90.00
Space group C2/m (No. 12)
Inequivalent atoms, fractional coordinates:
Rb: 0.000 0.000 0.000 x2
Rb: 0.000 0.337 0.000 x4
Sr: 0.000 0.500 0.500 x2
Pm: 0.000 0.167 0.500 x4
Se: 0.218 0.000 0.702 x4
Se: 0.243 0.325 0.703 x8

The following is a PBE-GGA calculation of crystalline Rb3Pm3TaSe8 at its relaxed geometry, from Alexandria.

## Properties
The uncorrected formation energy is -22.20 eV/f.u. For the raw total energy, the calculation gives -237.2 eV per cell. The density of states at the Fermi level is 4.49 states/eV/f.u.

Lattice parameters (Å, degrees): 8.3688 8.3688 24.6407 90.00 90.00 120.00
Space group R-3m (No. 166, hexagonal axes)
Inequivalent atoms, fractional coordinates:
Rb: 0.0000 0.5000 0.0000 x9
Pm: 0.0000 0.5000 0.5000 x9
Ta: 0.0000 0.0000 0.5000 x3
Se: 0.0000 0.0000 0.2343 x6
Se: 0.0303 0.5152 0.2290 x18

The following is a PBE-GGA calculation of crystalline Rb3TbPm3Se8 at its relaxed geometry, from Alexandria.

## Properties
The uncorrected formation energy is -24.89 eV/f.u. For the raw total energy, the calculation gives -149.1 eV per cell. The density of states at the Fermi level is 10.93 states/eV/f.u.

Lattice parameters (Å, degrees): 14.823 8.550 9.561 90.00 121.19 90.00
Space group C2/m (No. 12)
Inequivalent atoms, fractional coordinates:
Rb: 0.000 0.000 0.000 x2
Rb: 0.250 0.250 0.000 x4
Tb: 0.000 0.000 0.500 x2
Pm: 0.000 0.500 0.500 x2
Pm: 0.250 0.250 0.500 x4
Se: 0.017 0.246 0.305 x8
Se: 0.229 0.000 0.695 x4
Se: 0.234 0.500 0.700 x4

The following is a PBE-GGA calculation of crystalline Rb3TbPm2Se6 at its relaxed geometry, from Alexandria.

## Properties
The uncorrected formation energy is -20.87 eV/f.u. For the raw total energy, the calculation gives -117.6 eV per cell. The density of states at the Fermi level is 0.00 states/eV/f.u.

Lattice parameters (Å, degrees): 7.481 12.956 8.393 90.00 107.29 90.00
Space group C2/m (No. 12)
Inequivalent atoms, fractional coordinates:
Rb: 0.000 0.000 0.000 x2
Rb: 0.000 0.332 0.000 x4
Tb: 0.000 0.500 0.500 x2
Pm: 0.000 0.167 0.500 x4
Se: 0.230 0.336 0.698 x8
Se: 0.238 0.000 0.699 x4

The following is a PBE-GGA calculation of crystalline Rb4Pm3ThSe8 at its relaxed geometry, from Alexandria.

## Properties
The uncorrected formation energy is -27.00 eV/f.u. For the raw total energy, the calculation gives -241.2 eV per cell. The density of states at the Fermi level is 5.01 states/eV/f.u.

Lattice parameters (Å, degrees): 8.6615 8.6615 24.1409 90.00 90.00 120.00
Space group R-3m (No. 166, hexagonal axes)
Inequivalent atoms, fractional coordinates:
Rb: 0.0000 0.0000 0.0000 x3
Rb: 0.0000 0.5000 0.0000 x9
Pm: 0.0000 0.5000 0.5000 x9
Th: 0.0000 0.0000 0.5000 x3
Se: 0.0000 0.0000 0.2339 x6
Se: 0.0039 0.5020 0.2339 x18

The following is a PBE-GGA calculation of crystalline Rb3Pm3ThSe8 at its relaxed geometry, from Alexandria.

## Properties
The uncorrected formation energy is -26.26 eV/f.u. For the raw total energy, the calculation gives -236.1 eV per cell. The density of states at the Fermi level is 0.00 states/eV/f.u.

Lattice parameters (Å, degrees): 8.6395 8.6395 24.4589 90.00 90.00 120.00
Space group R-3m (No. 166, hexagonal axes)
Inequivalent atoms, fractional coordinates:
Rb: 0.0000 0.5000 0.0000 x9
Pm: 0.0000 0.5000 0.5000 x9
Th: 0.0000 0.0000 0.5000 x3
Se: 0.0000 0.0000 0.2327 x6
Se: 0.0036 0.5018 0.2317 x18

The following is a PBE-GGA calculation of crystalline Rb3PmTh3Se8 at its relaxed geometry, from Alexandria.

## Properties
The uncorrected formation energy is -24.41 eV/f.u. For the raw total energy, the calculation gives -246.6 eV per cell. The density of states at the Fermi level is 9.94 states/eV/f.u.

Lattice parameters (Å, degrees): 8.5396 8.5396 24.6550 90.00 90.00 120.00
Space group R-3m (No. 166, hexagonal axes)
Inequivalent atoms, fractional coordinates:
Rb: 0.0000 0.5000 0.0000 x9
Pm: 0.0000 0.0000 0.5000 x3
Th: 0.0000 0.5000 0.5000 x9
Se: 0.0000 0.0000 0.2353 x6
Se: 0.0037 0.5019 0.7667 x18

The following is a PBE-GGA calculation of crystalline Rb3Pm2ThSe6 at its relaxed geometry, from Alexandria.

## Properties
The uncorrected formation energy is -20.05 eV/f.u. For the raw total energy, the calculation gives -121.6 eV per cell. The density of states at the Fermi level is 4.68 states/eV/f.u.

Lattice parameters (Å, degrees): 7.488 12.969 8.439 90.00 107.19 90.00
Space group C2/m (No. 12)
Inequivalent atoms, fractional coordinates:
Rb: 0.000 0.000 0.000 x2
Rb: 0.000 0.332 0.000 x4
Pm: 0.000 0.167 0.500 x4
Th: 0.000 0.500 0.500 x2
Se: 0.232 0.335 0.702 x8
Se: 0.238 0.000 0.703 x4

The following is a PBE-GGA calculation of crystalline Rb3Pm2TiSe6 at its relaxed geometry, from Alexandria.

## Properties
The uncorrected formation energy is -17.98 eV/f.u. For the raw total energy, the calculation gives -118.4 eV per cell. The density of states at the Fermi level is 5.99 states/eV/f.u.

Lattice parameters (Å, degrees): 7.291 12.630 8.352 90.00 107.03 90.00
Space group C2/m (No. 12)
Inequivalent atoms, fractional coordinates:
Rb: 0.000 0.000 0.000 x2
Rb: 0.000 0.328 0.000 x4
Pm: 0.000 0.166 0.500 x4
Ti: 0.000 0.500 0.500 x2
Se: 0.218 0.346 0.692 x8
Se: 0.243 0.500 0.306 x4

The following is a PBE-GGA calculation of crystalline Rb3Pm3TiSe8 at its relaxed geometry, from Alexandria.

## Properties
The uncorrected formation energy is -23.57 eV/f.u. For the raw total energy, the calculation gives -229.5 eV per cell.

Lattice parameters (Å, degrees): 8.3852 8.3852 24.5476 90.00 90.00 120.00
Space group R-3m (No. 166, hexagonal axes)
Inequivalent atoms, fractional coordinates:
Rb: 0.0000 0.5000 0.0000 x9
Pm: 0.0000 0.5000 0.5000 x9
Ti: 0.0000 0.0000 0.5000 x3
Se: 0.0000 0.0000 0.2340 x6
Se: 0.0323 0.5162 0.2282 x18